(1)
## Pm2H2Pb (PBE)

Data for crystalline Pm2H2Pb at its relaxed geometry.

Results
E above lowest polymorph: 38.1 meV/atom

Unit cell a=7.909 b=6.753 c=6.018 alpha=76.29 beta=56.04 gamma=47.66
Positions (direct):
Pm  0.051  0.699  0.051
Pm  0.301  0.949  0.301
Pm  0.699  0.051  0.699
Pm  0.949  0.301  0.949
H  0.005  0.005  0.245
H  0.245  0.245  0.005
H  0.755  0.755  0.995
H  0.995  0.995  0.755
Pb  0.375  0.375  0.375
Pb  0.625  0.625  0.625

(2)
## Ba2NdCd3Hg12 (PBE)

Data for crystalline Ba2NdCd3Hg12 at its relaxed geometry.

Results
E_tot: -0.999 eV per atom

Unit cell a=13.130 b=13.130 c=13.130 alpha=31.89 beta=31.89 gamma=31.89
Positions (direct):
Ba  0.136  0.136  0.136
Ba  0.864  0.864  0.864
Nd  0.500  0.500  0.500
Cd  0.000  0.500  0.500
Cd  0.500  0.000  0.500
Cd  0.500  0.500  0.000
Hg  0.086  0.621  0.621
Hg  0.092  0.092  0.660
Hg  0.092  0.660  0.092
Hg  0.340  0.908  0.908
Hg  0.379  0.379  0.914
Hg  0.379  0.914  0.379
Hg  0.621  0.086  0.621
Hg  0.621  0.621  0.086
Hg  0.660  0.092  0.092
Hg  0.908  0.340  0.908
Hg  0.908  0.908  0.340
Hg  0.914  0.379  0.379